No. 1
{"formula": "K3ErSi3H2O10", "functional": "SCAN", "state": "PBEsol geometry", "space_group": "Pnma, No. 62", "e_tot_ev_per_atom": -11.911, "magnetic_moment_mub_per_cell": 0.0, "cell": [[5.840, 0.000, 0.000], [0.000, 13.128, 0.000], [0.000, 0.000, 13.460]], "species": ["O", "O", "O", "O", "O", "O", "O", "O", "O", "O", "O", "O", "O", "O", "O", "O", "O", "O", "O", "O", "O", "O", "O", "O", "O", "O", "O", "O", "O", "O", "O", "O", "O", "O", "O", "O", "O", "O", "O", "O", "K", "K", "K", "K", "K", "K", "K", "K", "K", "K", "K", "K", "Si", "Si", "Si", "Si", "Si", "Si", "Si", "Si", "Si", "Si", "Si", "Si", "H", "H", "H", "H", "H", "H", "H", "H", "Er", "Er", "Er", "Er"], "fractional_positions": [[0.431, 0.712, 0.348], [0.133, 0.971, 0.631], [0.671, 0.959, 0.630], [0.664, 0.201, 0.250], [0.336, 0.799, 0.750], [0.867, 0.029, 0.131], [0.671, 0.959, 0.870], [0.867, 0.029, 0.369], [0.069, 0.212, 0.348], [0.577, 0.873, 0.250], [0.329, 0.041, 0.130], [0.569, 0.288, 0.652], [0.411, 0.628, 0.518], [0.089, 0.128, 0.518], [0.329, 0.041, 0.370], [0.171, 0.541, 0.370], [0.911, 0.872, 0.018], [0.133, 0.971, 0.869], [0.923, 0.373, 0.250], [0.367, 0.471, 0.869], [0.931, 0.788, 0.652], [0.423, 0.127, 0.750], [0.589, 0.372, 0.482], [0.931, 0.788, 0.848], [0.911, 0.872, 0.482], [0.569, 0.288, 0.848], [0.077, 0.627, 0.750], [0.589, 0.372, 0.018], [0.089, 0.128, 0.982], [0.829, 0.459, 0.630], [0.171, 0.541, 0.130], [0.829, 0.459, 0.870], [0.633, 0.529, 0.369], [0.633, 0.529, 0.131], [0.411, 0.628, 0.982], [0.431, 0.712, 0.152], [0.367, 0.471, 0.631], [0.164, 0.299, 0.750], [0.836, 0.701, 0.250], [0.069, 0.212, 0.152], [0.581, 0.630, 0.750], [0.588, 0.139, 0.985], [0.912, 0.639, 0.985], [0.412, 0.861, 0.015], [0.419, 0.370, 0.250], [0.088, 0.361, 0.485], [0.412, 0.861, 0.485], [0.088, 0.361, 0.015], [0.912, 0.639, 0.515], [0.919, 0.130, 0.750], [0.081, 0.870, 0.250], [0.588, 0.139, 0.515], [0.415, 0.249, 0.750], [0.091, 0.097, 0.397], [0.585, 0.751, 0.250], [0.909, 0.903, 0.897], [0.409, 0.597, 0.397], [0.085, 0.749, 0.750], [0.091, 0.097, 0.103], [0.909, 0.903, 0.603], [0.915, 0.251, 0.250], [0.591, 0.403, 0.603], [0.409, 0.597, 0.103], [0.591, 0.403, 0.897], [0.385, 0.567, 0.565], [0.115, 0.067, 0.565], [0.885, 0.933, 0.435], [0.115, 0.067, 0.935], [0.615, 0.433, 0.435], [0.885, 0.933, 0.065], [0.615, 0.433, 0.065], [0.385, 0.567, 0.935], [0.912, 0.539, 0.250], [0.588, 0.039, 0.250], [0.088, 0.461, 0.750], [0.412, 0.961, 0.750]]}


No. 2
{"formula": "Er2H16S3O20", "functional": "SCAN", "state": "PBEsol geometry", "space_group": "C2/c, No. 15", "e_tot_ev_per_atom": -9.190, "magnetic_moment_mub_per_cell": 0.0, "cell": [[6.637, 0.000, 0.000], [-3.319, 6.561, -0.037], [0.000, -3.701, 17.486]], "species": ["O", "O", "O", "O", "O", "O", "O", "O", "O", "O", "O", "O", "O", "O", "O", "O", "O", "O", "O", "O", "O", "O", "O", "O", "O", "O", "O", "O", "O", "O", "O", "O", "O", "O", "O", "O", "O", "O", "O", "O", "H", "H", "H", "H", "H", "H", "H", "H", "H", "H", "H", "H", "H", "H", "H", "H", "H", "H", "H", "H", "H", "H", "H", "H", "H", "H", "H", "H", "H", "H", "H", "H", "Er", "Er", "Er", "Er", "S", "S", "S", "S", "S", "S"], "fractional_positions": [[0.825, 0.681, 0.959], [0.300, 0.090, 0.437], [0.369, 0.035, 0.857], [0.205, 0.824, 0.212], [0.075, 0.489, 0.918], [0.237, 0.485, 0.700], [0.795, 0.176, 0.788], [0.248, 0.485, 0.200], [0.631, 0.965, 0.143], [0.144, 0.319, 0.541], [0.856, 0.681, 0.459], [0.619, 0.824, 0.712], [0.982, 0.601, 0.603], [0.382, 0.682, 0.846], [0.666, 0.035, 0.357], [0.996, 0.068, 0.691], [0.175, 0.319, 0.041], [0.619, 0.601, 0.103], [0.701, 0.318, 0.654], [0.072, 0.068, 0.191], [0.299, 0.682, 0.346], [0.925, 0.511, 0.082], [0.004, 0.932, 0.309], [0.586, 0.511, 0.582], [0.722, 0.277, 0.517], [0.555, 0.277, 0.017], [0.381, 0.176, 0.288], [0.278, 0.723, 0.483], [0.334, 0.965, 0.643], [0.700, 0.910, 0.563], [0.018, 0.399, 0.397], [0.381, 0.399, 0.897], [0.763, 0.515, 0.300], [0.789, 0.090, 0.937], [0.414, 0.489, 0.418], [0.752, 0.515, 0.800], [0.211, 0.910, 0.063], [0.928, 0.932, 0.809], [0.618, 0.318, 0.154], [0.445, 0.723, 0.983], [0.469, 0.106, 0.651], [0.749, 0.450, 0.745], [0.843, 0.018, 0.894], [0.212, 0.245, 0.505], [0.299, 0.550, 0.755], [0.176, 0.018, 0.394], [0.363, 0.894, 0.849], [0.251, 0.550, 0.255], [0.311, 0.977, 0.457], [0.200, 0.982, 0.661], [0.707, 0.712, 0.985], [0.967, 0.755, 0.995], [0.800, 0.018, 0.339], [0.996, 0.288, 0.515], [0.637, 0.106, 0.151], [0.293, 0.288, 0.015], [0.788, 0.755, 0.495], [0.801, 0.666, 0.804], [0.865, 0.666, 0.304], [0.666, 0.977, 0.957], [0.218, 0.018, 0.839], [0.199, 0.334, 0.196], [0.701, 0.450, 0.245], [0.782, 0.982, 0.161], [0.157, 0.982, 0.106], [0.004, 0.712, 0.485], [0.033, 0.245, 0.005], [0.689, 0.023, 0.543], [0.334, 0.023, 0.043], [0.135, 0.334, 0.696], [0.824, 0.982, 0.606], [0.531, 0.894, 0.349], [0.644, 0.338, 0.393], [0.694, 0.338, 0.893], [0.356, 0.662, 0.607], [0.306, 0.662, 0.107], [0.682, 0.430, 0.090], [0.833, 0.000, 0.750], [0.167, 0.000, 0.250], [0.318, 0.570, 0.910], [0.748, 0.430, 0.590], [0.252, 0.570, 0.410]]}


No. 3
{"formula": "ErHfIr2", "functional": "SCAN", "state": "PBEsol geometry", "space_group": "Fm-3m, No. 225", "magnetic_moment_mub_per_cell": 0.0, "formation_enthalpy_0k_ev_per_atom": -1.06, "cell": [[4.649, 0.000, 0.000], [2.325, 4.027, 0.000], [2.325, 1.342, 3.796]], "species": ["Er", "Ir", "Ir", "Hf"], "fractional_positions": [[0.000, 0.000, 0.000], [0.750, 0.750, 0.750], [0.250, 0.250, 0.250], [0.500, 0.500, 0.500]]}


No. 4
{"formula": "ErHfRu2", "functional": "SCAN", "state": "PBEsol geometry", "space_group": "Fm-3m, No. 225", "magnetic_moment_mub_per_cell": 0.0, "formation_enthalpy_0k_ev_per_atom": -0.75, "cell": [[-1.668, 3.856, -1.866], [-3.186, -0.238, -3.305], [-4.323, 1.295, 0.877]], "species": ["Hf", "Ru", "Ru", "Er"], "fractional_positions": [[0.500, 0.500, 0.500], [0.250, 0.250, 0.250], [0.750, 0.750, 0.750], [0.000, 0.000, 0.000]]}